# 1
{"formula": "MnTe2W2", "functional": "PBE", "state": "optimized geometry", "cell": [[5.2749, 0.0000, 0.0000], [0.0000, 5.2749, 0.0000], [2.6374, 2.6374, 4.1274]], "species": ["Mn", "Te", "Te", "W", "W"], "frac_coords": [[0.0000, 0.0000, 0.0000], [0.7500, 0.2500, 0.5000], [0.2500, 0.7500, 0.5000], [0.3602, 0.3602, 0.2796], [0.6398, 0.6398, 0.7204]], "relative_energy_mev_per_atom": 104.3, "m_tot_mub_per_fu": 4.88, "rho_g_cm3": 9.801}

***

# 2
{"formula": "Mn2TeW", "functional": "PBE", "state": "optimized geometry", "cell": [[5.0085, 0.0018, 0.0004], [2.0731, 4.5593, -0.0004], [-3.2431, -2.7427, 2.6542]], "species": ["Mn", "Mn", "Te", "W"], "frac_coords": [[0.9861, 0.9861, 0.0000], [0.7541, 0.2541, 0.5000], [0.5097, 0.5097, 0.0000], [0.2501, 0.7501, 0.5000]], "m_tot_mub_per_fu": 4.09, "dft_energy_ev_per_fu": -32.57, "rho_g_cm3": 11.545}

***

# 3
{"formula": "MnTeW2", "functional": "PBE", "state": "optimized geometry", "cell": [[-0.5362, 2.1782, -4.3911], [2.0211, 0.2946, -4.4880], [-2.2907, -2.9653, -2.8136]], "species": ["Mn", "Te", "W", "W"], "frac_coords": [[0.4948, 0.4948, 0.5559], [0.2408, 0.2408, 0.2312], [0.9977, 0.9977, 0.0178], [0.7667, 0.7667, 0.6950]], "m_tot_mub_per_fu": 1.86, "dft_energy_ev_per_fu": -35.83, "rho_g_cm3": 13.904}

***

# 4
{"formula": "Mn2TeW", "functional": "PBE", "state": "optimized geometry", "cell": [[-0.8764, -0.0228, -3.4065], [1.4662, -4.0227, -0.3503], [-3.7361, -1.4463, 0.9709]], "species": ["Mn", "Mn", "Te", "W"], "frac_coords": [[0.0000, 0.0000, 0.0000], [0.5000, 0.5000, 0.0000], [0.5000, 0.0000, 0.5000], [0.0000, 0.5000, 0.5000]], "m_tot_mub_per_fu": 4.91, "dft_energy_ev_per_fu": -32.47, "rho_g_cm3": 11.231}

***

# 5
{"formula": "Mn2TeW", "functional": "PBE", "state": "optimized geometry", "cell": [[-1.7403, 2.5323, -1.3510], [0.4315, -1.3399, -3.0674], [-4.3093, -4.2707, -2.4540]], "species": ["Mn", "Mn", "Te", "W"], "frac_coords": [[0.0000, 0.0237, 0.9763], [0.0000, 0.4763, 0.5237], [0.5000, 0.2500, 0.2500], [0.5000, 0.7500, 0.7500]], "m_tot_mub_per_fu": 4.40, "dft_energy_ev_per_fu": -32.94, "rho_g_cm3": 11.014}

***

# 6
{"formula": "MnTe4W", "functional": "PBE", "state": "optimized geometry", "cell": [[-5.2931, 0.8517, 3.1664], [-5.4136, -1.9041, -2.4157], [-2.9675, -4.8825, 2.4745]], "species": ["Mn", "Te", "Te", "Te", "Te", "W"], "frac_coords": [[0.0000, 0.0000, 0.0000], [0.8733, 0.3756, 0.3756], [0.3756, 0.3756, 0.8733], [0.3756, 0.8733, 0.3756], [0.3756, 0.3756, 0.3756], [0.7500, 0.7500, 0.7500]], "m_tot_mub_per_fu": 9.02, "dft_energy_ev_per_fu": -25.52, "rho_g_cm3": 7.288}

***

# 7
{"formula": "Mn2TeW", "functional": "PBE", "state": "optimized geometry", "cell": [[5.5636, 0.0000, 0.0000], [0.0000, 5.5636, 0.0000], [2.7818, 2.7818, 5.5469]], "species": ["Mn", "Mn", "Mn", "Mn", "Te", "Te", "W", "W"], "frac_coords": [[0.6503, 0.1250, 0.2500], [0.0997, 0.6250, 0.2500], [0.3750, 0.3497, 0.7500], [0.8750, 0.9003, 0.7500], [0.5000, 0.5000, 0.0000], [0.2500, 0.7500, 0.5000], [0.0000, 0.0000, 0.0000], [0.7500, 0.2500, 0.5000]], "m_tot_mub_per_fu": 0.01, "dft_energy_ev_per_fu": -29.48, "rho_g_cm3": 8.149}

***

# 8
{"formula": "MnTeW2", "functional": "PBE", "state": "optimized geometry", "cell": [[-0.2818, 0.0012, -3.0413], [1.4015, -2.7107, -0.1309], [-6.1021, -3.1823, 0.5642]], "species": ["Mn", "Te", "W", "W"], "frac_coords": [[0.5000, 0.5000, 0.2500], [0.5000, 0.5000, 0.7500], [0.0000, 0.0000, 0.0297], [0.0000, 0.0000, 0.4703]], "m_tot_mub_per_fu": 0.00, "dft_energy_ev_per_fu": -35.88, "rho_g_cm3": 14.183}

***

# 9
{"formula": "Mn3TeW", "functional": "PBE", "state": "optimized geometry", "cell": [[4.4721, 0.0000, 0.0000], [0.0000, 4.4721, 0.0000], [0.0000, 0.0000, 4.4721]], "species": ["Mn", "Mn", "Mn", "Te", "W"], "frac_coords": [[0.0000, 0.5000, 0.0000], [0.0000, 0.0000, 0.5000], [0.5000, 0.0000, 0.0000], [0.0000, 0.0000, 0.0000], [0.5000, 0.5000, 0.5000]], "relative_energy_mev_per_atom": 876.1, "m_tot_mub_per_fu": 1.06, "rho_g_cm3": 8.842}

***

# 10
{"formula": "Mn2TeW", "functional": "PBE", "state": "optimized geometry", "cell": [[-3.8216, 2.5473, 0.3371], [-0.6411, -3.0913, -3.3527], [-1.1848, -2.0574, 2.1228]], "species": ["Mn", "Mn", "Te", "W"], "frac_coords": [[0.0000, 0.0000, 0.0000], [0.5000, 0.5000, 0.0000], [0.5000, 0.0000, 0.5000], [0.0000, 0.5000, 0.5000]], "m_tot_mub_per_fu": 5.16, "dft_energy_ev_per_fu": -32.61, "rho_g_cm3": 10.892}

***

# 11
{"formula": "MnTeW2", "functional": "PBE", "state": "optimized geometry", "cell": [[-0.2535, -3.6636, 2.6711], [1.3229, -2.6195, -3.4655], [3.0372, 0.4095, 0.8498]], "species": ["Mn", "Te", "W", "W"], "frac_coords": [[0.5000, 0.0000, 0.5000], [0.0000, 0.5000, 0.5000], [0.0000, 0.0000, 0.0000], [0.5000, 0.5000, 0.0000]], "m_tot_mub_per_fu": 2.28, "dft_energy_ev_per_fu": -35.65, "rho_g_cm3": 13.932}

***

# 12
{"formula": "MnTeW", "functional": "PBE", "state": "optimized geometry", "cell": [[5.7767, 0.0048, 0.0000], [4.1469, 4.0217, 0.0000], [-4.9618, -2.0132, 2.1675]], "species": ["Mn", "Te", "W"], "frac_coords": [[0.0171, 0.0171, 0.0000], [0.3387, 0.3387, 0.0000], [0.6441, 0.6441, 0.0000]], "relative_energy_mev_per_atom": 229.2, "m_tot_mub_per_fu": 0.00, "rho_g_cm3": 12.092}

***

# 13
{"formula": "MnTeW2", "functional": "PBE", "state": "optimized geometry", "cell": [[4.8682, -0.0924, -0.0546], [3.8660, 2.9600, -0.0546], [0.7986, 0.2622, 4.5996]], "species": ["Mn", "Te", "W", "W"], "frac_coords": [[0.2500, 0.2500, 0.2500], [0.7500, 0.7500, 0.7500], [0.9937, 0.9937, 0.0305], [0.5063, 0.5063, 0.4695]], "m_tot_mub_per_fu": 2.54, "dft_energy_ev_per_fu": -36.07, "rho_g_cm3": 13.422}

***

# 14
{"formula": "Mn2TeW", "functional": "PBE", "state": "optimized geometry", "cell": [[4.3998, 0.0000, 0.0000], [2.1999, 3.8103, 0.0000], [2.1999, 1.2701, 3.5924]], "species": ["Mn", "Mn", "Te", "W"], "frac_coords": [[0.0000, 0.0000, 0.0000], [0.2500, 0.2500, 0.2500], [0.5000, 0.5000, 0.5000], [0.7500, 0.7500, 0.7500]], "m_tot_mub_per_fu": 3.35, "dft_energy_ev_per_fu": -32.39, "rho_g_cm3": 11.617}

***

# 15
{"formula": "MnTeW2", "functional": "PBE", "state": "optimized geometry", "cell": [[-1.2946, -2.5888, -2.4614], [-0.0640, -2.6008, 2.7691], [-9.7599, -0.0905, 2.2959]], "species": ["Mn", "Mn", "Te", "Te", "W", "W", "W", "W"], "frac_coords": [[0.5000, 0.5000, 0.0000], [0.2500, 0.7500, 0.5000], [0.0000, 0.0000, 0.0000], [0.7500, 0.2500, 0.5000], [0.6140, 0.1250, 0.2500], [0.1360, 0.6250, 0.2500], [0.3750, 0.3860, 0.7500], [0.8750, 0.8640, 0.7500]], "m_tot_mub_per_fu": 0.00, "dft_energy_ev_per_fu": -34.26, "rho_g_cm3": 13.103}

***

# 16
{"formula": "MnTeW3", "functional": "PBE", "state": "optimized geometry", "cell": [[4.5589, 0.0000, 0.0000], [0.0000, 4.5589, 0.0000], [0.0000, 0.0000, 4.5589]], "species": ["Mn", "Te", "W", "W", "W"], "frac_coords": [[0.0000, 0.0000, 0.0000], [0.5000, 0.5000, 0.5000], [0.0000, 0.5000, 0.0000], [0.0000, 0.0000, 0.5000], [0.5000, 0.0000, 0.0000]], "relative_energy_mev_per_atom": 0.0, "m_tot_mub_per_fu": 0.00, "rho_g_cm3": 12.865}

***

# 17
{"formula": "Mn2TeW", "functional": "PBE", "state": "optimized geometry", "cell": [[5.0360, 0.0047, -0.0030], [1.9443, 4.6455, 0.0030], [-3.0666, -2.9610, 2.6814]], "species": ["Mn", "Mn", "Te", "W"], "frac_coords": [[0.0036, 0.0036, 0.0000], [0.4964, 0.4964, 0.0000], [0.7500, 0.2500, 0.5000], [0.2500, 0.7500, 0.5000]], "m_tot_mub_per_fu": 4.59, "dft_energy_ev_per_fu": -32.35, "rho_g_cm3": 11.153}

***

# 18
{"formula": "Mn3TeW", "functional": "PBE", "state": "optimized geometry", "cell": [[4.7035, 0.0000, 0.0000], [0.0000, 4.7035, 0.0000], [0.0000, 0.0000, 4.7035]], "species": ["Mn", "Mn", "Mn", "Te", "W"], "frac_coords": [[0.0000, 0.5000, 0.0000], [0.0000, 0.0000, 0.5000], [0.5000, 0.0000, 0.0000], [0.5000, 0.5000, 0.5000], [0.0000, 0.0000, 0.0000]], "relative_energy_mev_per_atom": 0.0, "m_tot_mub_per_fu": 7.70, "rho_g_cm3": 7.600}

***

# 19
{"formula": "Mn2TeW", "functional": "PBE", "state": "optimized geometry", "cell": [[-3.0343, -3.1683, 0.2841], [2.2980, -2.2154, -0.1635], [0.3685, 0.0499, 4.4922]], "species": ["Mn", "Mn", "Te", "W"], "frac_coords": [[0.0000, 0.1246, 0.9652], [0.5000, 0.1251, 0.2710], [0.0000, 0.6247, 0.4378], [0.5000, 0.6255, 0.8261]], "m_tot_mub_per_fu": 4.24, "dft_energy_ev_per_fu": -32.61, "rho_g_cm3": 11.046}

***

# 20
{"formula": "MnTeW2", "functional": "PBE", "state": "optimized geometry", "cell": [[4.0941, 0.0000, 0.0000], [0.0000, 3.0521, 0.1015], [0.0000, 2.1070, 5.4342]], "species": ["Mn", "Te", "W", "W"], "frac_coords": [[0.5000, 0.2500, 0.2500], [0.5000, 0.7500, 0.7500], [0.0000, 0.0403, 0.0270], [0.0000, 0.4597, 0.4730]], "m_tot_mub_per_fu": 1.63, "dft_energy_ev_per_fu": -35.42, "rho_g_cm3": 13.631}

***

no.,D(E_F) (states/eV per cell)
1,3.63
2,3.38
3,3.84
4,3.28
5,4.19
6,4.65
7,15.82
8,3.48
9,8.92
10,2.48
11,2.88
12,2.96
13,2.71
14,2.45
15,13.94
16,6.41
17,4.01
18,4.91
19,3.06
20,3.57